Crystalline RbNpVO5 at its relaxed geometry. Source: Alexandria, functional PBE with a Hubbard U.

Results
* DFT total energy: -65.2 eV/f.u.

a b c (Å): 6.3051 6.3051 8.0378
angles (deg): 104.65 104.65 105.92
Fractional coordinates of all 16 atoms:
Rb  0.1661  0.8339  0.7500
Rb  0.8339  0.1661  0.2500
Np  0.5000  0.5000  0.0000
Np  0.5000  0.5000  0.5000
V  0.1885  0.8115  0.2500
V  0.8115  0.1885  0.7500
O  0.1074  0.2737  0.8884
O  0.2127  0.6306  0.3861
O  0.2737  0.1074  0.3884
O  0.3694  0.7873  0.1139
O  0.4412  0.5588  0.7500
O  0.5588  0.4412  0.2500
O  0.6306  0.2127  0.8861
O  0.7263  0.8926  0.6116
O  0.7873  0.3694  0.6139
O  0.8926  0.7263  0.1116